No. 1
Here is ScCd2InAg after structural relaxation from the Alexandria database. Energies are from PBE-GGA.

ΔH_f (0 K)   0.6294 eV/atom

a = 5.6131 Å, b = 5.6131 Å, c = 5.2393 Å
α = 90.00°, β = 90.00°, γ = 90.00°
Space group P4/mmm (No. 123)
Unique sites:
Sc: 0.0000 0.0000 0.0000
Cd: 0.0000 0.5000 0.0000
In: 0.5000 0.5000 0.5000
Ag: 0.0000 0.0000 0.5000


No. 2
Here is Tl12In3Sb5 after structural relaxation from the Alexandria database. Energies are from PBE-GGA.

DFT total energy   -2.708 eV/atom

a = 18.0646 Å, b = 18.0646 Å, c = 18.0646 Å
α = 90.00°, β = 90.00°, γ = 90.00°
Space group Ia-3d (No. 230)
Unique sites:
Tl: 0.0205 0.0799 0.6505
In: 0.0000 0.2500 0.1250
Sb: 0.0000 0.0000 0.0000
Sb: 0.0000 0.2500 0.3750


No. 3
Here is SrAs2OsBr after structural relaxation from the Alexandria database. Energies are from PBE-GGA.

DFT total energy   -3.141 eV/atom

a = 5.8084 Å, b = 5.8084 Å, c = 5.5418 Å
α = 90.00°, β = 90.00°, γ = 90.00°
Space group P4/mmm (No. 123)
Unique sites:
Sr: 0.0000 0.0000 0.0000
As: 0.0000 0.5000 0.0000
Os: 0.5000 0.5000 0.5000
Br: 0.0000 0.0000 0.5000


No. 4
Here is Y6Ho3Th2Sc after structural relaxation from the Alexandria database. Energies are from PBE-GGA.

ΔH_f (0 K)   0.0314 eV/atom

a = 6.1192 Å, b = 10.5982 Å, c = 11.7491 Å
α = 90.00°, β = 100.02°, γ = 90.00°
Space group C2/m (No. 12)
Unique sites:
Y: 0.2490 0.0000 0.2470
Y: 0.2485 0.3336 0.2468
Ho: 0.0000 0.0000 0.5000
Ho: 0.0000 0.3337 0.5000
Th: 0.0000 0.1666 0.0000
Sc: 0.0000 0.5000 0.0000


> What is the formula in the third record?

SrAs2OsBr